Compound: TbPmB4
Source: OQMD
Functional: PBE
Structure: optimized geometry

Output
* SG: P6/mmm (191)
* V: 12.634 A^3/atom
* final energy: -6.455 eV/atom

Geometry as extended XYZ:
```
6
Lattice="3.3147 0.0000 0.0000 -1.6574 2.8706 0.0000 0.0000 0.0000 7.9668" Properties=species:S:1:pos:R:3 pbc="T T T"
Tb 0.0000 0.0000 0.0000
Pm 0.0000 0.0000 3.9834
B 0.0000 1.9138 1.9317
B 0.0000 1.9138 6.0351
B 1.6574 0.9569 1.9317
B 1.6574 0.9569 6.0351
```

***

Compound: LuBeTlPt
Source: OQMD
Functional: PBE
Structure: optimized geometry

Output
* SG: F-43m (216)
* V: 18.601 A^3/atom
* final energy: -4.387 eV/atom

Geometry as extended XYZ:
```
4
Lattice="0.0000 3.3383 3.3383 3.3383 0.0000 3.3383 3.3383 3.3383 0.0000" Properties=species:S:1:pos:R:3 pbc="T T T"
Lu 0.0000 0.0000 0.0000
Be 3.3383 3.3383 3.3383
Tl 1.6691 1.6691 1.6691
Pt 5.0074 5.0074 5.0074
```